# 1
Here is crystalline TiNb2P at its relaxed geometry from the Alexandria database. Energies are from PBE-GGA.

Cell lengths 3.3011, 3.3011, 7.7082 Å; angles 77.64, 77.64, 60.00 degrees
Last column: nearest neighbours and their distance in Å.
Atoms (fractional coordinates):
1 P 0.0000 0.0000 0.0000  6 Nb 2.46
2 Nb 0.2636 0.2636 0.2091  3 P 2.46
3 Nb 0.7364 0.7364 0.7909  3 P 2.46
4 Ti 0.5000 0.5000 0.5000  6 Nb 2.89

Results
Spin magnetization ... 0.000 μB per cell
Volume ... 70.5 Å³/f.u.
Total energy ... -0.634 Ry/atom
Energy of formation from the pure elements ... -0.2654 eV per atom

---

# 2
Here is crystalline Ti3NbP at its relaxed geometry from the Alexandria database. Energies are from PBE-GGA.

Cell lengths 6.1536, 6.1536, 6.1467 Å; angles 103.60, 120.55, 104.92 degrees
Last column: nearest neighbours and their distance in Å.
Atoms (fractional coordinates):
1 Ti 0.8229 0.0476 0.2610  2 P 2.40-2.57
2 Ti 0.2134 0.4381 0.2610  2 P 2.40-2.57
3 Ti 0.7866 0.5619 0.7390  2 P 2.40-2.57
4 Ti 0.7231 0.4389 0.1620  2 P 2.37-2.59
5 Ti 0.1771 0.9524 0.7390  2 P 2.40-2.57
6 Ti 0.2769 0.5611 0.8380  2 P 2.37-2.59
7 Nb 0.7189 0.0595 0.7785  2 P 2.46-2.64, 2 Ti 2.72
8 Nb 0.2811 0.9405 0.2215  2 P 2.46-2.64, 2 Ti 2.72
9 P 0.6360 0.7427 0.3787  6 Ti 2.37-2.59, 2 Nb 2.46-2.64
10 P 0.3640 0.2573 0.6213  6 Ti 2.37-2.59, 2 Nb 2.46-2.64

Results
Offset from the most stable computed form ... 0 meV/atom
Spin magnetization ... 0.000 μB per cell
Volume ... 87.0 Å³/f.u.
Total energy ... -0.608 Ry/atom
Energy of formation from the pure elements ... -0.4418 eV per atom

---

Q: Which of these has the highest volume?
A: Ti3NbP

---

Q: Which of these has the lowest energy of formation from the pure elements?
A: Ti3NbP

---

Q: Which value of volume does entry 2 give?
A: 87.0 Å³/f.u.

---

Q: Which of these has the highest energy of formation from the pure elements?
A: TiNb2P